1.
The following is a PBE-GGA calculation of crystalline TbMg3Ga3 at its relaxed geometry, from Alexandria.

```
data_TbMg3Ga3
_symmetry_space_group_name_H-M 'P 1'
_symmetry_Int_Tables_number 1
_cell_length_a 7.2726
_cell_length_b 7.2726
_cell_length_c 7.2726
_cell_angle_alpha 90.00
_cell_angle_beta 90.00
_cell_angle_gamma 90.00
loop_
_symmetry_equiv_pos_as_xyz
'x,y,z'
loop_
_atom_site_label
_atom_site_fract_x
_atom_site_fract_y
_atom_site_fract_z
Ga1 0.5000 0.2500 0.0000
Ga2 0.2500 0.0000 0.5000
Ga3 0.7500 0.0000 0.5000
Ga4 0.0000 0.5000 0.7500
Ga5 0.5000 0.7500 0.0000
Ga6 0.0000 0.5000 0.2500
Tb1 0.0000 0.0000 0.0000
Tb2 0.5000 0.5000 0.5000
Mg1 0.5000 0.0000 0.2500
Mg2 0.0000 0.2500 0.5000
Mg3 0.0000 0.7500 0.5000
Mg4 0.5000 0.0000 0.7500
Mg5 0.7500 0.5000 0.0000
Mg6 0.2500 0.5000 0.0000
```

Values from the calculation:
- calculated formation energy (kJ per mole of atoms) = 37
- total magnetic moment (μB/f.u.) = 0.000
- ρ (Mg/m³) = 3.8
- total DFT energy (no corrections) (eV/atom) = -2.26

---

2.
The following is a PBE-GGA calculation of crystalline Tb4Mg3Ga at its relaxed geometry, from Alexandria.

```
data_Tb4Mg3Ga
_symmetry_space_group_name_H-M 'P 1'
_symmetry_Int_Tables_number 1
_cell_length_a 3.6908
_cell_length_b 3.6908
_cell_length_c 15.4404
_cell_angle_alpha 90.00
_cell_angle_beta 90.00
_cell_angle_gamma 90.00
loop_
_symmetry_equiv_pos_as_xyz
'x,y,z'
loop_
_atom_site_label
_atom_site_fract_x
_atom_site_fract_y
_atom_site_fract_z
Tb1 0.0000 0.0000 0.8889
Tb2 0.0000 0.0000 0.1111
Tb3 0.0000 0.0000 0.3702
Tb4 0.0000 0.0000 0.6298
Ga1 0.5000 0.5000 0.0000
Mg1 0.5000 0.5000 0.5000
Mg2 0.5000 0.5000 0.2431
Mg3 0.5000 0.5000 0.7569
```

Values from the calculation:
- calculated formation energy (kJ per mole of atoms) = -20
- total magnetic moment (μB/f.u.) = 0.000
- ρ (Mg/m³) = 6.1
- total DFT energy (no corrections) (eV/atom) = -3.50

---

3.
The following is a PBE-GGA calculation of crystalline Tb3Mg4Ga4 at its relaxed geometry, from Alexandria.

```
data_Tb3Mg4Ga4
_symmetry_space_group_name_H-M 'P 1'
_symmetry_Int_Tables_number 1
_cell_length_a 4.4968
_cell_length_b 7.2716
_cell_length_c 8.5874
_cell_angle_alpha 115.05
_cell_angle_beta 105.18
_cell_angle_gamma 90.00
loop_
_symmetry_equiv_pos_as_xyz
'x,y,z'
loop_
_atom_site_label
_atom_site_fract_x
_atom_site_fract_y
_atom_site_fract_z
Mg1 0.3281 0.5248 0.6563
Mg2 0.3281 0.1315 0.6563
Mg3 0.6719 0.8685 0.3437
Mg4 0.6719 0.4752 0.3437
Tb1 0.8826 0.8826 0.7652
Tb2 0.0000 0.5000 0.0000
Tb3 0.1174 0.1174 0.2348
Ga1 0.2170 0.7170 0.4340
Ga2 0.7830 0.2830 0.5660
Ga3 0.5000 0.1842 0.0000
Ga4 0.5000 0.8158 0.0000
```

Values from the calculation:
- calculated formation energy (kJ per mole of atoms) = -42
- total magnetic moment (μB/f.u.) = 0.000
- ρ (Mg/m³) = 5.8
- total DFT energy (no corrections) (eV/atom) = -3.38

---

4.
The following is a PBE-GGA calculation of crystalline TbMg4Ga15 at its relaxed geometry, from Alexandria.

```
data_TbMg4Ga15
_symmetry_space_group_name_H-M 'P 1'
_symmetry_Int_Tables_number 1
_cell_length_a 4.2243
_cell_length_b 4.2243
_cell_length_c 21.0628
_cell_angle_alpha 90.00
_cell_angle_beta 90.00
_cell_angle_gamma 90.00
loop_
_symmetry_equiv_pos_as_xyz
'x,y,z'
loop_
_atom_site_label
_atom_site_fract_x
_atom_site_fract_y
_atom_site_fract_z
Ga1 0.5000 0.0000 0.1053
Ga2 0.5000 0.0000 0.6992
Ga3 0.5000 0.0000 0.8947
Ga4 0.5000 0.5000 0.2040
Ga5 0.5000 0.5000 0.7960
Ga6 0.5000 0.5000 0.4009
Ga7 0.5000 0.0000 0.5000
Ga8 0.5000 0.0000 0.3008
Ga9 0.0000 0.5000 0.5000
Ga10 0.0000 0.5000 0.8947
Ga11 0.5000 0.5000 0.5991
Ga12 0.5000 0.5000 0.0000
Ga13 0.0000 0.5000 0.1053
Ga14 0.0000 0.5000 0.3008
Ga15 0.0000 0.5000 0.6992
Mg1 0.0000 0.0000 0.7982
Mg2 0.0000 0.0000 0.6003
Mg3 0.0000 0.0000 0.3997
Mg4 0.0000 0.0000 0.2018
Tb1 0.0000 0.0000 0.0000
```

Values from the calculation:
- calculated formation energy (kJ per mole of atoms) = -17
- total magnetic moment (μB/f.u.) = 0.000
- ρ (Mg/m³) = 5.8
- total DFT energy (no corrections) (eV/atom) = -3.00

---

5.
The following is a PBE-GGA calculation of crystalline Tb2MgGa at its relaxed geometry, from Alexandria.

```
data_Tb2MgGa
_symmetry_space_group_name_H-M 'P 1'
_symmetry_Int_Tables_number 1
_cell_length_a 3.6148
_cell_length_b 3.6148
_cell_length_c 9.9232
_cell_angle_alpha 79.51
_cell_angle_beta 79.51
_cell_angle_gamma 60.00
loop_
_symmetry_equiv_pos_as_xyz
'x,y,z'
loop_
_atom_site_label
_atom_site_fract_x
_atom_site_fract_y
_atom_site_fract_z
Tb1 0.2589 0.2589 0.2234
Tb2 0.7411 0.7411 0.7766
Mg1 0.5000 0.5000 0.5000
Ga1 0.0000 0.0000 0.0000
```

Values from the calculation:
- calculated formation energy (kJ per mole of atoms) = -19
- total magnetic moment (μB/f.u.) = 0.000
- ρ (Mg/m³) = 6.2
- total DFT energy (no corrections) (eV/atom) = -3.66

---

6.
The following is a PBE-GGA calculation of crystalline TbThMgGa at its relaxed geometry, from Alexandria.

```
data_TbThMgGa
_symmetry_space_group_name_H-M 'P 1'
_symmetry_Int_Tables_number 1
_cell_length_a 5.2562
_cell_length_b 5.2562
_cell_length_c 5.2562
_cell_angle_alpha 60.00
_cell_angle_beta 60.00
_cell_angle_gamma 60.00
loop_
_symmetry_equiv_pos_as_xyz
'x,y,z'
loop_
_atom_site_label
_atom_site_fract_x
_atom_site_fract_y
_atom_site_fract_z
Th1 0.5000 0.5000 0.5000
Ga1 0.2500 0.2500 0.2500
Mg1 0.7500 0.7500 0.7500
Tb1 0.0000 0.0000 0.0000
```

Values from the calculation:
- calculated formation energy (kJ per mole of atoms) = -22
- total magnetic moment (μB/f.u.) = 0.000
- ρ (Mg/m³) = 7.8
- total DFT energy (no corrections) (eV/atom) = -4.40

---

calculated formation energy of number 4 (TbMg4Ga15)? -17 kJ per mole of atoms

---

Which of these has the lowest calculated formation energy? Tb3Mg4Ga4

---

Copy entry 1 word for word.
The following is a PBE-GGA calculation of crystalline TbMg3Ga3 at its relaxed geometry, from Alexandria.

```
data_TbMg3Ga3
_symmetry_space_group_name_H-M 'P 1'
_symmetry_Int_Tables_number 1
_cell_length_a 7.2726
_cell_length_b 7.2726
_cell_length_c 7.2726
_cell_angle_alpha 90.00
_cell_angle_beta 90.00
_cell_angle_gamma 90.00
loop_
_symmetry_equiv_pos_as_xyz
'x,y,z'
loop_
_atom_site_label
_atom_site_fract_x
_atom_site_fract_y
_atom_site_fract_z
Ga1 0.5000 0.2500 0.0000
Ga2 0.2500 0.0000 0.5000
Ga3 0.7500 0.0000 0.5000
Ga4 0.0000 0.5000 0.7500
Ga5 0.5000 0.7500 0.0000
Ga6 0.0000 0.5000 0.2500
Tb1 0.0000 0.0000 0.0000
Tb2 0.5000 0.5000 0.5000
Mg1 0.5000 0.0000 0.2500
Mg2 0.0000 0.2500 0.5000
Mg3 0.0000 0.7500 0.5000
Mg4 0.5000 0.0000 0.7500
Mg5 0.7500 0.5000 0.0000
Mg6 0.2500 0.5000 0.0000
```

Values from the calculation:
- calculated formation energy (kJ per mole of atoms) = 37
- total magnetic moment (μB/f.u.) = 0.000
- ρ (Mg/m³) = 3.8
- total DFT energy (no corrections) (eV/atom) = -2.26